First-principles (GGA-PBE) data for a geometry-optimized La4PrP5 structure, as listed in Alexandria via LeMat-Bulk.

a = 4.265 Å, b = 6.025 Å, c = 21.310 Å
α = 90.00°, β = 90.00°, γ = 90.00°
Space group Immm (No. 71)
Asymmetric unit:
La 0.000 0.000 0.100
La 0.000 0.000 0.301
Pr 0.000 0.000 0.500
P 0.000 0.500 0.099
P 0.000 0.500 0.300
P 0.000 0.500 0.500


First-principles (GGA-PBE) data for a geometry-optimized LaPrP2 structure, as listed in Alexandria via LeMat-Bulk.

Energy above the most stable polymorph in this dataset   0 meV per atom

a = 4.2412 Å, b = 4.2412 Å, c = 20.7673 Å
α = 90.00°, β = 90.00°, γ = 120.00°
Space group R-3m (No. 166, hexagonal axes)
Asymmetric unit:
La 0.0000 0.0000 0.0000
Pr 0.0000 0.0000 0.5000
P 0.0000 0.0000 0.2493


First-principles (GGA-PBE) data for a geometry-optimized LaPrP2 structure, as listed in Alexandria via LeMat-Bulk.

Energy above the most stable polymorph in this dataset   150 meV per atom

a = 4.1697 Å, b = 4.1697 Å, c = 21.7324 Å
α = 90.00°, β = 90.00°, γ = 120.00°
Space group R3m (No. 160, hexagonal axes)
Asymmetric unit:
La 0.0000 0.0000 0.0000
Pr 0.0000 0.0000 0.8291
P 0.0000 0.0000 0.2461
P 0.0000 0.0000 0.4160


It is found that the energy relative to the elements values, taken in the order of the records, are -1.564, -1.547, -1.396 eV/atom.